# 1
VASP calculation (PBE) on a geometry-optimized CdRhPbN2 structure.

a b c (Å): 4.259 4.259 6.122
angles (deg): 90.00 90.00 90.00
Space group P4/mmm (No. 123)
One atom of each set of equivalent atoms:
Cd1 0.000 0.000 0.000
Rh1 0.500 0.500 0.000
Pb1 0.000 0.000 0.500
N1 0.000 0.500 0.500

## Properties
total DFT energy (no corrections)	-3.638	eV/atom

=====

# 2
VASP calculation (PBE) on a geometry-optimized Tl2OsBr structure.

a b c (Å): 3.422 3.392 8.262
angles (deg): 90.00 90.10 90.00
Space group P2/m (No. 10)
One atom of each set of equivalent atoms:
Tl1 0.001 0.000 0.196
Os1 0.500 0.500 0.000
Br1 0.000 0.500 0.500

## Properties
energy relative to the lowest polymorph listed for this composition	11	meV per atom

=====

# 3
VASP calculation (PBE) on a geometry-optimized Y3HoAl8 structure.

a b c (Å): 5.5552 5.5552 27.3457
angles (deg): 90.00 90.00 120.00
Space group R3m (No. 160, hexagonal axes)
One atom of each set of equivalent atoms:
Y1 0.0000 0.0000 0.0000
Y2 0.0000 0.0000 0.1247
Y3 0.0000 0.0000 0.5003
Ho1 0.0000 0.0000 0.6246
Al1 0.0000 0.0000 0.3124
Al2 0.0000 0.0000 0.8124
Al3 0.9998 0.4999 0.0623
Al4 0.0000 0.5000 0.5626

## Properties
DFT formation energy	-0.528	eV per atom
energy relative to the lowest polymorph listed for this composition	0	meV per atom